Entry 1:
The following is a GGA-PBE calculation of an optimized crystal structure of NdTmTl2Pt4, from OQMD.

The space group is P-6m2 (No. 187) and the conventional cell measures 4.6540, 4.6540 and 9.0582 Å, with angles of 90.00, 90.00 and 120.00 degrees. The inequivalent atoms are Nd at (0.0000, 0.0000, 0.0000), Tm at (0.3333, 0.6667, 0.5000), Tl at (0.6667, 0.3333, 0.2546), Pt at (0.0000, 0.0000, 0.3488) and Pt at (0.3333, 0.6667, 0.1599).

For the volume, the calculation gives 21.24 Å³/atom. Its total energy is -0.404 Ry per atom.



Entry 2:
The following is a GGA-PBE calculation of an optimized crystal structure of ScFeGe, from OQMD.

The space group is P-62m (No. 189) and the conventional cell measures 6.8779, 6.8779 and 3.3712 Å, with angles of 90.00, 90.00 and 120.00 degrees. The inequivalent atoms are Sc at (0.0000, 0.6066, 0.0000), Fe at (0.0000, 0.0000, 0.0000), Fe at (0.3333, 0.6667, 0.5000) and Ge at (0.0000, 0.2728, 0.5000).

For the volume, the calculation gives 15.35 Å³/atom. Its total energy is -0.503 Ry per atom.